Entry from Alexandria: a PBEsol-optimized structure of MgAl2P3O12 (SCAN).

a = 8.958 Å, b = 9.239 Å, c = 9.239 Å
α = 91.24°, β = 90.61°, γ = 89.39°
Element x y z (fractional)
1 P 0.488 0.507 0.742
2 P 0.988 0.258 0.493
3 P 0.251 0.005 0.031
4 P 0.012 0.749 0.493
5 P 0.751 0.969 0.995
6 P 0.512 0.507 0.251
7 Mg 0.011 0.004 0.745
8 Mg 0.511 0.255 0.996
9 Al 0.250 0.495 0.481
10 Al 0.490 0.742 0.005
11 Al 0.750 0.519 0.505
12 Al 0.990 0.995 0.258
13 O 0.876 0.659 0.533
14 O 0.848 0.999 0.130
15 O 0.467 0.637 0.157
16 O 0.131 0.347 0.489
17 O 0.159 0.976 0.167
18 O 0.561 0.381 0.155
19 O 0.850 0.358 0.482
20 O 0.846 0.943 0.862
21 O 0.483 0.368 0.827
22 O 0.141 0.648 0.446
23 O 0.149 0.033 0.902
24 O 0.486 0.640 0.845
25 O 0.376 0.467 0.341
26 O 0.348 0.870 0.001
27 O 0.967 0.843 0.363
28 O 0.631 0.511 0.653
29 O 0.659 0.833 0.024
30 O 0.061 0.845 0.619
31 O 0.350 0.518 0.642
32 O 0.346 0.138 0.057
33 O 0.983 0.173 0.632
34 O 0.641 0.554 0.352
35 O 0.649 0.098 0.967
36 O 0.986 0.155 0.360

Properties
Energy ... -9.73 eV/atom
Formation energy without anion corrections ... -2701 meV per atom
Crystal system ... monoclinic

---

Entry from Alexandria: a PBEsol-optimized structure of MgAlPO5 (SCAN).

a = 5.469 Å, b = 7.121 Å, c = 10.378 Å
α = 90.00°, β = 90.00°, γ = 98.38°
Element x y z (fractional)
1 Mg 0.883 0.985 0.142
2 Mg 0.617 0.015 0.642
3 Mg 0.117 0.015 0.858
4 Mg 0.383 0.985 0.358
5 Al 0.442 0.641 0.174
6 Al 0.058 0.359 0.674
7 Al 0.558 0.359 0.826
8 Al 0.942 0.641 0.326
9 P 0.431 0.219 0.098
10 P 0.069 0.781 0.598
11 P 0.569 0.781 0.902
12 P 0.931 0.219 0.402
13 O 0.313 0.890 0.545
14 O 0.187 0.110 0.045
15 O 0.687 0.110 0.455
16 O 0.813 0.890 0.955
17 O 0.059 0.086 0.314
18 O 0.441 0.914 0.814
19 O 0.941 0.914 0.686
20 O 0.559 0.086 0.186
21 O 0.392 0.716 0.015
22 O 0.108 0.284 0.515
23 O 0.608 0.284 0.985
24 O 0.892 0.716 0.485
25 O 0.743 0.732 0.219
26 O 0.757 0.268 0.719
27 O 0.257 0.268 0.781
28 O 0.243 0.732 0.281
29 O 0.379 0.392 0.176
30 O 0.121 0.608 0.676
31 O 0.621 0.608 0.824
32 O 0.879 0.392 0.324

Properties
Energy ... -9.80 eV/atom
Formation energy without anion corrections ... -3013 meV per atom
Crystal system ... monoclinic